No. 1
The following is a DFT calculation (GGA-PBE) of crystalline MgIn2Ag7Sn2 at its relaxed geometry.

abc: 4.0225 4.0225 16.0505
angles: 96.76 96.76 90.01
Sites, in units of the cell vectors:
Mg (0.0000, 0.0000, 0.0000)
In (0.3606, 0.3606, 0.7269)
In (0.6394, 0.6394, 0.2731)
Ag (0.0685, 0.5678, 0.1372)
Ag (0.2697, 0.2697, 0.5433)
Ag (0.4322, 0.9315, 0.8628)
Ag (0.5000, 0.5000, 0.0000)
Ag (0.5678, 0.0685, 0.1372)
Ag (0.7303, 0.7303, 0.4567)
Ag (0.9315, 0.4322, 0.8628)
Sn (0.1877, 0.1877, 0.3648)
Sn (0.8123, 0.8123, 0.6352)

Computed properties:
ΔE_f: 0.3 eV per formula unit
Total magnetization: 0.00 μB/cell
Symmetry: No. 12

No. 2
The following is a DFT calculation (GGA-PBE) of crystalline Sr2MgIn3Ag4 at its relaxed geometry.

abc: 4.5262 4.5262 12.5476
angles: 90.00 90.00 90.00
Sites, in units of the cell vectors:
Sr (0.0000, 0.5000, 0.2474)
Sr (0.5000, 0.0000, 0.7526)
Mg (0.0000, 0.0000, 0.5000)
In (0.0000, 0.5000, 0.8635)
In (0.5000, 0.0000, 0.1365)
In (0.5000, 0.5000, 0.5000)
Ag (0.0000, 0.0000, 0.0000)
Ag (0.0000, 0.5000, 0.6406)
Ag (0.5000, 0.0000, 0.3594)
Ag (0.5000, 0.5000, 0.0000)

Computed properties:
ΔE_f: -2.7 eV per formula unit
Total magnetization: 0.00 μB/cell
Symmetry: No. 115

No. 3
The following is a DFT calculation (GGA-PBE) of crystalline SrMg4In2Ag at its relaxed geometry.

abc: 9.7954 9.7954 9.7954
angles: 29.34 29.34 29.34
Sites, in units of the cell vectors:
Sr (0.0000, 0.0000, 0.0000)
Mg (0.1349, 0.1349, 0.1349)
Mg (0.4033, 0.4033, 0.4033)
Mg (0.5967, 0.5967, 0.5967)
Mg (0.8651, 0.8651, 0.8651)
In (0.2548, 0.2548, 0.2548)
In (0.7452, 0.7452, 0.7452)
Ag (0.5000, 0.5000, 0.5000)

Computed properties:
ΔE_f: -1.3 eV per formula unit
Total magnetization: 0.00 μB/cell
Symmetry: No. 166

No. 4
The following is a DFT calculation (GGA-PBE) of crystalline SrMgIn2Ag2 at its relaxed geometry.

abc: 4.8142 4.8142 7.5385
angles: 90.00 90.00 120.00
Sites, in units of the cell vectors:
Sr (0.0000, 0.0000, 0.0000)
Mg (0.0000, 0.0000, 0.5000)
In (0.3333, 0.6667, 0.2828)
In (0.6667, 0.3333, 0.7172)
Ag (0.3333, 0.6667, 0.6831)
Ag (0.6667, 0.3333, 0.3169)

Computed properties:
ΔE_f: -1.6 eV per formula unit
Total magnetization: 0.00 μB/cell
Symmetry: No. 164

No. 5
The following is a DFT calculation (GGA-PBE) of crystalline Sr2MgInAg6 at its relaxed geometry.

abc: 7.3069 7.3069 9.4988
angles: 130.43 130.43 46.55
Sites, in units of the cell vectors:
Sr (0.2439, 0.2439, 0.2076)
Sr (0.7561, 0.7561, 0.7924)
Mg (0.0000, 0.0000, 0.5000)
In (0.5000, 0.5000, 0.0000)
Ag (0.2472, 0.7468, 0.7420)
Ag (0.2481, 0.2481, 0.5801)
Ag (0.2532, 0.7528, 0.2580)
Ag (0.7468, 0.2472, 0.7420)
Ag (0.7519, 0.7519, 0.4199)
Ag (0.7528, 0.2532, 0.2580)

Computed properties:
ΔE_f: -1.6 eV per formula unit
Total magnetization: 0.00 μB/cell
Symmetry: No. 12

No. 6
The following is a DFT calculation (GGA-PBE) of crystalline SrMg2In2Ag2 at its relaxed geometry.

abc: 9.4217 9.4217 9.4217
angles: 29.16 29.16 29.16
Sites, in units of the cell vectors:
Sr (0.0000, 0.0000, 0.0000)
Mg (0.1396, 0.1396, 0.1396)
Mg (0.8604, 0.8604, 0.8604)
In (0.2546, 0.2546, 0.2546)
In (0.7454, 0.7454, 0.7454)
Ag (0.4449, 0.4449, 0.4449)
Ag (0.5551, 0.5551, 0.5551)

Computed properties:
ΔE_f: -1.7 eV per formula unit
Total magnetization: 0.00 μB/cell
Symmetry: No. 166

No. 7
The following is a DFT calculation (GGA-PBE) of crystalline SrMgIn4Ag2 at its relaxed geometry.

abc: 10.4418 10.4418 10.4418
angles: 26.87 26.87 26.87
Sites, in units of the cell vectors:
Sr (0.0000, 0.0000, 0.0000)
Mg (0.5000, 0.5000, 0.5000)
In (0.1229, 0.1229, 0.1229)
In (0.3989, 0.3989, 0.3989)
In (0.6011, 0.6011, 0.6011)
In (0.8771, 0.8771, 0.8771)
Ag (0.2296, 0.2296, 0.2296)
Ag (0.7704, 0.7704, 0.7704)

Computed properties:
ΔE_f: -1.3 eV per formula unit
Total magnetization: 0.00 μB/cell
Symmetry: No. 166

No. 8
The following is a DFT calculation (GGA-PBE) of crystalline Sr3MgIn2Ag6 at its relaxed geometry.

abc: 6.2369 6.2369 9.3177
angles: 90.00 90.00 120.00
Sites, in units of the cell vectors:
Sr (0.0000, 0.0000, 0.0000)
Sr (0.3333, 0.6667, 0.6098)
Sr (0.6667, 0.3333, 0.3902)
Mg (0.0000, 0.0000, 0.5000)
In (0.3333, 0.6667, 0.0051)
In (0.6667, 0.3333, 0.9949)
Ag (0.1776, 0.3552, 0.2791)
Ag (0.1776, 0.8224, 0.2791)
Ag (0.3552, 0.1776, 0.7209)
Ag (0.6448, 0.8224, 0.2791)
Ag (0.8224, 0.1776, 0.7209)
Ag (0.8224, 0.6448, 0.7209)

Computed properties:
ΔE_f: -2.2 eV per formula unit
Total magnetization: 0.00 μB/cell
Symmetry: No. 164